A plane-wave DFT calculation with PBE-GGA was carried out for crystalline BaHo2CuSe4 at its relaxed geometry.

## Properties
energy relative to the elements, uncorrected = -1585 meV/atom
uncorrected energy = -5.22 eV per atom
total moment = 0.00 μB/cell
SG = Cmcm (63)
density of states at the Fermi level = 3.49 states/eV/cell

a b c (Å): 7.2516 7.2516 14.2132
angles (deg): 90.00 90.00 146.60
Closest atoms and distances in Å follow each position.
Positions (direct):
1 Ba 0.1177 0.8823 0.7500  6 Se 3.25-3.28
2 Ba 0.8823 0.1177 0.2500  6 Se 3.25-3.28
3 Ho 0.3725 0.6275 0.5585  6 Se 2.86-2.94
4 Ho 0.3725 0.6275 0.9415  6 Se 2.86-2.94
5 Ho 0.6275 0.3725 0.0585  6 Se 2.86-2.94
6 Ho 0.6275 0.3725 0.4415  6 Se 2.86-2.94
7 Cu 0.1538 0.8462 0.2500  4 Se 2.44-2.48
8 Cu 0.8462 0.1538 0.7500  4 Se 2.44-2.48
9 Se 0.0000 0.0000 0.0000  4 Ho 2.86
10 Se 0.0000 0.0000 0.5000  4 Ho 2.86
11 Se 0.2655 0.7345 0.1136  1 Cu 2.48
12 Se 0.2655 0.7345 0.3864  1 Cu 2.48
13 Se 0.4380 0.5620 0.7500  2 Cu 2.44
14 Se 0.5620 0.4380 0.2500  2 Cu 2.44
15 Se 0.7345 0.2655 0.6136  1 Cu 2.48
16 Se 0.7345 0.2655 0.8864  1 Cu 2.48